A relaxed CrCl crystal. Source: Alexandria, functional GGA-PBE.

## Properties
As for the space-group type: No. 129. For the size of the total moment, the calculation gives 1.57 μB per formula unit.

```
data_CrCl
_chemical_formula_sum 'Cr2 Cl2'
_symmetry_space_group_name_H-M 'P 1'
_symmetry_Int_Tables_number 1
_symmetry_space_group_name_Hall 'P 1'
_cell_length_a 3.4457
_cell_length_b 3.4457
_cell_length_c 6.6421
_cell_angle_alpha 90.00
_cell_angle_beta 90.00
_cell_angle_gamma 90.00
loop_
_atom_site_label
_atom_site_fract_x
_atom_site_fract_y
_atom_site_fract_z
Cr1 0.2500 0.7500 0.0000
Cr2 0.7500 0.2500 0.0000
Cl1 0.2500 0.2500 0.2612
Cl2 0.7500 0.7500 0.7388
```



A relaxed CrCl3 crystal. Source: Alexandria, functional GGA-PBE.

## Properties
As for the space-group type: No. 166. For the size of the total moment, the calculation gives 2.99 μB per formula unit.

```
data_CrCl3
_chemical_formula_sum 'Cr1 Cl3'
_symmetry_space_group_name_H-M 'P 1'
_symmetry_Int_Tables_number 1
_symmetry_space_group_name_Hall 'P 1'
_cell_length_a 8.0763
_cell_length_b 8.0763
_cell_length_c 8.0763
_cell_angle_alpha 25.59
_cell_angle_beta 25.59
_cell_angle_gamma 25.59
loop_
_atom_site_label
_atom_site_fract_x
_atom_site_fract_y
_atom_site_fract_z
Cl1 0.5000 0.5000 0.5000
Cl2 0.2765 0.2765 0.2765
Cr1 0.0000 0.0000 0.0000
Cl3 0.7235 0.7235 0.7235
```



| no. | DOS(E_F) (states/eV/f.u.) | VASP energy (eV per atom) |
| --- | --- | --- |
| 1 | 1.73 | -5.65 |
| 2 | 3.86 | -4.30 |